1.
First-principles (PBE) data for Si2AsPtCl after structural relaxation, as listed in the Alexandria database.

```
5
Lattice="4.7352 0.0000 0.0000 0.0000 4.7352 0.0000 0.0000 0.0000 4.8540" Properties=species:S:1:pos:R:3 pbc="T T T"
Si 0.0000 2.3676 0.0000
Si 2.3676 0.0000 0.0000
As 0.0000 0.0000 2.4270
Pt 2.3676 2.3676 0.0000
Cl 2.3676 2.3676 2.4270
```

Summary:
Its space group is P4/mmm, No. 123. The uncorrected formation energy is 52.00 kJ/mol of atoms.



2.
First-principles (PBE) data for U2Si3GeIr4 after structural relaxation, as listed in the Alexandria database.

```
10
Lattice="4.1282 0.0000 0.0000 0.0000 4.1282 0.0000 0.0000 0.0000 9.9892" Properties=species:S:1:pos:R:3 pbc="T T T"
U 0.0000 2.0641 2.4631
U 2.0641 0.0000 7.5261
Si 0.0000 0.0000 0.0000
Si 0.0000 2.0641 6.2966
Si 2.0641 0.0000 3.6926
Ge 2.0641 2.0641 0.0000
Ir 0.0000 0.0000 4.9946
Ir 0.0000 2.0641 8.6477
Ir 2.0641 0.0000 1.3415
Ir 2.0641 2.0641 4.9946
```

Summary:
Its space group is P-4m2, No. 115. The uncorrected formation energy is -68.90 kJ/mol of atoms.



3.
First-principles (PBE) data for Ca4La3Pm after structural relaxation, as listed in the Alexandria database.

```
16
Lattice="5.3662 0.0000 0.0000 0.0000 10.7410 0.0000 0.0000 0.0000 10.8727" Properties=species:S:1:pos:R:3 pbc="T T T"
Ca 1.3415 0.0119 1.4358
Ca 1.3415 2.6852 9.4545
Ca 1.3415 5.3586 1.4358
Ca 1.3415 8.0557 9.4314
Ca 4.0246 2.6852 1.4413
Ca 4.0246 5.3823 9.4369
Ca 4.0246 8.0557 1.4182
Ca 4.0246 10.7291 9.4369
La 1.3415 5.3773 6.6363
La 1.3415 8.0557 4.2225
La 1.3415 10.7342 6.6363
La 4.0246 0.0068 4.2364
La 4.0246 2.6852 6.6502
La 4.0246 5.3637 4.2364
Pm 1.3415 2.6852 4.2074
Pm 4.0246 8.0557 6.6654
```

Summary:
The energy of formation from the pure elements is 26 meV per atom. Its space group is Pmmn, No. 59.



4.
First-principles (PBE) data for CsPa2I11 after structural relaxation, as listed in the Alexandria database.

```
28
Lattice="-7.2365 7.2560 8.1986 7.2365 -7.2560 8.1986 7.2365 7.2560 -8.1986" Properties=species:S:1:pos:R:3 pbc="T T T"
Cs 0.0000 0.0000 4.0993
Cs 0.0000 0.0000 12.2979
Pa 9.4152 2.2398 0.0000
Pa 2.1787 5.0162 0.0000
Pa 5.0578 2.2398 8.1986
Pa -2.1787 5.0162 8.1986
I 7.2365 0.0000 0.0000
I 3.6281 -0.7352 2.0815
I 7.8657 -3.6316 6.1240
I 7.8657 3.6316 -2.0746
I 10.8449 0.7352 2.0815
I 4.1765 2.9647 0.0000
I 4.1765 -2.9647 8.1986
I 3.6084 6.5208 -2.0815
I 0.6292 3.6244 2.0746
I 7.8657 3.6316 2.0746
I 3.6281 0.7352 6.1171
I 0.0000 7.2560 0.0000
I 3.6084 6.5208 2.0815
I -0.6292 3.6244 6.1240
I 6.6073 3.6316 6.1240
I 3.6281 0.7352 10.2801
I 3.0600 10.2206 0.0000
I 3.0600 4.2913 8.1986
I -3.6084 6.5208 6.1171
I -0.6292 3.6244 10.2732
I -0.6292 10.8876 2.0746
I 3.6084 7.9912 6.1171
```

Summary:
Its space group is Ibam, No. 72. The uncorrected formation energy is -96.94 kJ/mol of atoms.



no.,total magnetization (μB/cell)
1,0.0
2,3.4
3,0.0
4,0.0